(1)
4
Lattice="-1.900 -2.961 -3.166 2.018 -0.536 -4.248 2.207 -4.046 -1.078" Properties=species:S:1:pos:R:3 comment="PBE HfPaRu2, relaxed" total_magnetization_mub_per_fu=0.01 polymorph_energy_mev_per_atom=76 dft_energy_ev_per_fu=-39.84 spacegroup="Fm-3m (225)" e_form_ev_per_fu=-1.84 pbc="T T T"
Ru 0.581 -1.886 -2.123
Ru 1.744 -5.657 -6.369
Hf 0.000 0.000 0.000
Pa 1.163 -3.771 -4.246

(2)
6
Lattice="3.004 0.000 0.000 0.000 4.787 0.000 -1.502 0.000 8.194" Properties=species:S:1:pos:R:3 comment="PBE ScUZn, relaxed" total_magnetization_mub_per_fu=0.00 dft_energy_ev_per_fu=-19.09 spacegroup="Cmcm (63)" e_form_ev_per_fu=-0.19 pbc="T T T"
U 0.000 3.590 3.783
U 1.502 1.197 4.411
Zn 0.000 1.197 7.165
Zn 1.502 3.590 1.029
Sc 1.502 3.590 6.776
Sc 0.000 1.197 1.418

(3)
16
Lattice="-2.929 -3.395 0.496 6.348 -1.406 7.354 -6.235 6.344 6.595" Properties=species:S:1:pos:R:3 comment="PBE AcBi2Pt, relaxed" total_magnetization_mub_per_fu=0.00 polymorph_energy_mev_per_atom=36 dft_energy_ev_per_fu=-20.44 spacegroup="Cmcm (63)" e_form_ev_per_fu=-2.53 pbc="T T T"
Bi -1.095 1.291 2.371
Bi -3.538 4.035 6.717
Bi 0.305 0.813 7.364
Bi 2.458 -1.378 5.087
Bi -3.121 0.730 7.081
Bi -1.721 0.252 12.074
Bi 0.723 -2.492 7.728
Bi -5.274 2.921 9.358
Pt 1.019 -0.544 2.300
Pt -1.552 2.073 5.020
Pt -1.263 -0.530 9.425
Pt -3.835 2.086 12.145
Ac -1.599 2.803 9.735
Ac -1.216 -1.260 4.709
Ac -4.582 1.474 3.546
Ac -1.465 -1.697 0.248

(4)
4
Lattice="-2.599 -4.601 7.622 -0.728 -6.788 6.278 0.542 -4.508 8.088" Properties=species:S:1:pos:R:3 comment="PBE TePbW2, relaxed" total_magnetization_mub_per_fu=0.00 polymorph_energy_mev_per_atom=595 raw_formation_energy_ev_per_fu=4.11 dft_energy_ev_per_fu=-28.65 spacegroup="R-3m (166)" pbc="T T T"
Te -2.089 -11.923 16.491
W -0.018 -0.101 0.139
W -1.375 -7.848 10.855
Pb -0.696 -3.974 5.497

(5)
8
Lattice="5.032 0.000 0.000 2.516 4.357 0.000 2.516 1.452 8.237" Properties=species:S:1:pos:R:3 comment="PBE LiTb2SmAu4, relaxed" total_magnetization_mub_per_fu=0.00 dft_energy_ev_per_fu=-35.04 spacegroup="R-3m (166)" e_form_ev_per_fu=-6.04 pbc="T T T"
Au 2.516 1.452 5.233
Au 5.032 2.905 1.136
Au 7.547 4.357 3.004
Au 5.032 2.905 7.100
Tb 7.547 4.357 5.982
Tb 2.516 1.452 2.254
Sm 0.000 0.000 0.000
Li 5.032 2.905 4.118

(6)
5
Lattice="-1.478 0.580 -4.764 0.843 -4.876 -0.855 -4.724 -1.052 1.338" Properties=species:S:1:pos:R:3 comment="PBE TaAuSe3, relaxed" total_magnetization_mub_per_fu=0.00 polymorph_energy_mev_per_atom=637 raw_formation_energy_ev_per_fu=0.80 dft_energy_ev_per_fu=-24.78 spacegroup="Pm-3m (221)" pbc="T T T"
Se -2.362 -0.526 0.669
Se 0.422 -2.438 -0.428
Se -0.739 0.290 -2.382
Au -2.679 -2.674 -2.141
Ta 0.000 0.000 0.000

(7)
10
Lattice="7.713 0.000 0.000 0.000 7.713 0.000 0.000 0.000 4.502" Properties=species:S:1:pos:R:3 comment="PBE Ca2Ge2S, relaxed" total_magnetization_mub_per_fu=0.00 raw_formation_energy_ev_per_fu=-3.58 dft_energy_ev_per_fu=-20.95 spacegroup="P4/mbm (127)" pbc="T T T"
Ca 2.343 6.200 0.000
Ca 5.370 1.513 0.000
Ca 1.513 2.343 0.000
Ca 6.200 5.370 0.000
Ge 4.662 6.908 2.251
Ge 6.908 3.051 2.251
Ge 0.805 4.662 2.251
Ge 3.051 0.805 2.251
S 3.856 3.856 0.000
S 0.000 0.000 0.000

(8)
4
Lattice="-0.666 3.636 1.183 -2.111 0.792 -3.622 -4.312 -3.432 1.762" Properties=species:S:1:pos:R:3 comment="PBE LaTbRh2, relaxed" total_magnetization_mub_per_fu=0.00 dft_energy_ev_per_fu=-27.34 spacegroup="Pm (6)" e_form_ev_per_fu=-3.08 pbc="T T T"
Tb -3.199 0.543 -0.530
Rh -4.944 -1.998 -0.069
Rh -2.922 1.812 2.099
La -4.749 -0.762 2.601

(9)
4
Lattice="-0.921 7.962 5.622 -3.757 6.119 6.656 -0.598 5.463 8.103" Properties=species:S:1:pos:R:3 comment="PBE CoTePb2, relaxed" total_magnetization_mub_per_fu=0.00 polymorph_energy_mev_per_atom=0 raw_formation_energy_ev_per_fu=0.33 dft_energy_ev_per_fu=-17.34 spacegroup="R3m (160)" pbc="T T T"
Pb -3.957 14.658 15.285
Pb -5.165 19.130 19.948
Te -2.790 10.334 10.776
Co -1.280 4.740 4.943

(10)
14
Lattice="-4.617 3.396 -5.481 -6.054 0.037 5.122 2.219 7.167 2.571" Properties=species:S:1:pos:R:3 comment="PBE CdGa3Bi3, relaxed" total_magnetization_mub_per_fu=0.00 dft_energy_ev_per_fu=-20.40 spacegroup="Pm-3n (223)" e_form_ev_per_fu=1.24 pbc="T T T"
Ga -1.363 5.393 4.490
Ga -2.473 1.810 3.204
Ga -0.045 4.432 -0.085
Ga -2.354 6.130 -2.826
Ga -3.822 1.707 -1.460
Ga -6.849 1.725 1.101
Bi -3.431 3.611 5.127
Bi -0.404 3.593 2.566
Bi -0.645 7.073 -0.812
Bi -1.754 3.490 -2.098
Bi -6.490 2.565 -1.550
Bi -4.181 0.867 1.191
Cd -4.226 5.300 1.106
Cd 0.000 0.000 0.000

(11)
10
Lattice="-0.700 -2.039 3.701 2.954 -2.919 -1.050 7.211 5.681 4.496" Properties=species:S:1:pos:R:3 comment="PBE Pm2ZnAs4Rh3, relaxed" total_magnetization_mub_per_fu=0.00 dft_energy_ev_per_fu=-59.67 spacegroup="P-4m2 (115)" e_form_ev_per_fu=-8.25 pbc="T T T"
Pm 6.941 2.845 2.881
Pm 1.397 0.357 2.940
As 4.067 0.581 1.090
As 4.271 2.621 4.731
As 0.000 0.000 0.000
As 1.127 -2.479 1.326
Rh 2.349 -0.772 0.019
Rh 5.989 3.974 5.802
Rh 3.606 2.841 2.248
Zn 4.732 0.361 3.573

(12)
12
Lattice="6.329 -0.001 0.005 -3.164 5.482 0.005 -1.061 -1.837 11.773" Properties=species:S:1:pos:R:3 comment="PBE Pm2Pr6DyHo3, relaxed" total_magnetization_mub_per_fu=0.00 dft_energy_ev_per_fu=-56.36 spacegroup="C2/m (12)" e_form_ev_per_fu=0.15 pbc="T T T"
Pr 0.000 3.646 8.808
Pr -0.006 -0.011 8.801
Pr 3.158 1.822 8.808
Pr -1.054 1.821 2.975
Pr 2.104 -0.003 2.975
Pr 2.110 3.654 2.982
Ho 1.052 1.822 5.891
Ho -2.114 3.650 5.891
Ho 4.218 -0.007 5.891
Pm -0.001 3.654 0.005
Pm 3.166 1.826 0.005
Dy 0.000 0.000 0.000

(13)
9
Lattice="-3.741 6.412 -1.920 -4.864 3.235 4.967 6.575 4.820 3.295" Properties=species:S:1:pos:R:3 comment="PBE SrNpHgBr6, relaxed" total_magnetization_mub_per_fu=3.00 raw_formation_energy_ev_per_fu=-12.44 dft_energy_ev_per_fu=-37.40 spacegroup="P312 (149)" pbc="T T T"
Hg -2.031 14.467 6.342
Br 3.043 5.637 1.724
Br 1.369 5.488 5.280
Br -2.251 5.779 3.450
Br 0.267 2.843 2.727
Br 0.468 8.409 2.803
Br -0.382 5.597 -0.006
Np 0.419 5.625 2.663
Sr -2.449 8.841 3.678

(14)
10
Lattice="-2.602 -4.370 0.485 2.683 -4.899 -2.834 1.589 -3.374 5.033" Properties=species:S:1:pos:R:3 comment="PBE Nd4PaN5, relaxed" total_magnetization_mub_per_fu=0.00 raw_formation_energy_ev_per_fu=-14.93 dft_energy_ev_per_fu=-85.13 spacegroup="I4/m (87)" pbc="T T T"
N 2.485 -7.348 1.013
N 1.754 -4.131 -0.835
N -0.822 -5.305 1.672
N -1.302 -2.187 0.243
N -0.091 -8.522 3.520
Nd 1.307 -6.416 3.080
Nd 1.009 -9.442 1.133
Nd 0.357 -6.237 -0.396
Nd 0.655 -3.211 1.552
Pa -0.003 -0.005 0.001

(15)
4
Lattice="8.772 0.005 0.003 8.227 3.045 0.003 8.227 1.476 2.663" Properties=species:S:1:pos:R:3 comment="PBE YCr2Mo, relaxed" total_magnetization_mub_per_fu=3.49 polymorph_energy_mev_per_atom=335 dft_energy_ev_per_fu=-33.78 spacegroup="R-3m (166)" e_form_ev_per_fu=2.76 pbc="T T T"
Cr 12.933 2.320 1.368
Cr 24.907 4.468 2.635
Mo 6.307 1.131 0.667
Y 18.920 3.394 2.001

(16)
6
Lattice="4.925 1.384 2.700 1.030 5.490 1.504 -0.091 1.537 5.576" Properties=species:S:1:pos:R:3 comment="PBE InCoSe4, relaxed" total_magnetization_mub_per_fu=2.33 raw_formation_energy_ev_per_fu=4.30 dft_energy_ev_per_fu=-19.49 spacegroup="F-43m (216)" pbc="T T T"
In 0.000 0.000 0.000
Se 2.162 3.925 6.438
Se 2.716 5.880 4.425
Se 2.207 3.165 3.681
Se 4.643 3.850 5.016
Co 4.398 6.308 7.335

(17)
20
Lattice="-2.175 5.408 -1.799 2.159 -3.567 -13.331 -6.531 -2.735 -0.326" Properties=species:S:1:pos:R:3 comment="PBE La3SnN, relaxed" total_magnetization_mub_per_fu=0.00 raw_formation_energy_ev_per_fu=-4.20 dft_energy_ev_per_fu=-31.31 spacegroup="Pnma (62)" pbc="T T T"
La -4.213 -5.686 -12.154
La -5.340 2.791 -5.270
La -3.465 -0.981 -9.258
La -0.027 -0.031 -10.972
La -6.521 -0.863 -4.484
La -1.208 -3.685 -10.186
La -2.334 4.792 -3.302
La -2.870 -1.964 -12.932
La -3.082 0.087 -6.198
La -1.739 3.809 -6.976
La -3.677 1.070 -2.524
La -4.808 -4.703 -8.480
Sn -1.088 2.704 -0.900
Sn -0.008 0.921 -7.565
Sn -3.265 -1.368 -0.163
Sn -2.186 -3.151 -6.828
N -4.650 0.547 -4.558
N -1.898 -1.441 -10.898
N -5.467 -2.954 -3.753
N -1.081 2.060 -11.702

(18)
8
Lattice="6.952 0.000 0.000 0.000 6.952 0.000 3.476 3.476 2.660" Properties=species:S:1:pos:R:3 comment="PBE TaNiPd2, relaxed" total_magnetization_mub_per_fu=0.00 polymorph_energy_mev_per_atom=580 dft_energy_ev_per_fu=-27.32 spacegroup="I-42d (122)" e_form_ev_per_fu=0.70 pbc="T T T"
Pd 1.798 5.214 0.665
Pd 5.214 5.274 1.995
Pd 5.153 1.738 0.665
Pd 8.689 8.629 1.995
Ta 6.952 3.476 1.330
Ta 0.000 0.000 0.000
Ni 3.476 3.476 0.000
Ni 3.476 6.952 1.330

(19)
7
Lattice="6.762 0.025 0.000 -3.233 5.939 0.000 -1.764 -2.982 5.807" Properties=species:S:1:pos:R:3 comment="PBE HoAl2Te4, relaxed" total_magnetization_mub_per_fu=0.84 raw_formation_energy_ev_per_fu=-3.39 dft_energy_ev_per_fu=-28.02 spacegroup="I4/m (87)" pbc="T T T"
Te 0.737 -0.436 2.822
Te 1.027 3.418 2.985
Te 4.333 1.462 0.856
Te -2.569 1.520 4.951
Al 3.381 0.013 2.903
Al -1.617 2.969 2.903
Ho 1.764 2.982 0.000

(20)
8
Lattice="3.988 0.000 -0.792 -0.462 4.946 -2.326 -0.978 -0.542 5.508" Properties=species:S:1:pos:R:3 comment="PBE AlH2Pd5, relaxed" total_magnetization_mub_per_fu=0.00 polymorph_energy_mev_per_atom=59 dft_energy_ev_per_fu=-38.09 spacegroup="Immm (71)" pbc="T T T"
Pd 0.664 0.091 3.343
Pd 0.430 2.601 2.162
Pd 2.118 1.803 0.228
Pd 1.883 4.313 -0.953
Pd -0.231 2.473 -1.163
Al 0.000 0.000 0.000
H 2.451 1.124 1.903
H 0.097 3.280 0.487